The following is a PBE calculation of Ca2SiSe after structural relaxation, from Alexandria.

a = 7.8425 Å, b = 7.8425 Å, c = 7.0905 Å
α = 90.00°, β = 90.00°, γ = 90.00°
Closest atoms and distances in Å follow each position.
Atoms (fractional coordinates):
Ca: 0.2391 0.2500 0.1250  2 Se 2.85, 2 Si 2.97
Ca: 0.2500 0.7391 0.3750  2 Se 2.85, 2 Si 2.97
Ca: 0.2500 0.7609 0.8750  2 Se 2.85, 2 Si 2.97
Ca: 0.2609 0.2500 0.6250  2 Se 2.85, 2 Si 2.97
Ca: 0.7391 0.7500 0.6250  2 Se 2.85, 2 Si 2.97
Ca: 0.7500 0.2391 0.8750  2 Se 2.85, 2 Si 2.97
Ca: 0.7500 0.2609 0.3750  2 Se 2.85, 2 Si 2.97
Ca: 0.7609 0.7500 0.1250  2 Se 2.85, 2 Si 2.97
Si: 0.0000 0.0000 0.5000  4 Ca 2.97
Si: 0.0000 0.5000 0.7500  4 Ca 2.97
Si: 0.5000 0.0000 0.2500  4 Ca 2.97
Si: 0.5000 0.5000 0.0000  4 Ca 2.97
Se: 0.0000 0.0000 0.0000  4 Ca 2.85
Se: 0.0000 0.5000 0.2500  4 Ca 2.85
Se: 0.5000 0.0000 0.7500  4 Ca 2.85
Se: 0.5000 0.5000 0.5000  4 Ca 2.85

Values from the calculation:
magnetization: 0.0 μB per formula unit
ΔE to the lowest computed polymorph: 292 meV/atom
electronic total energy: -0.286 Ry/atom
calculated volume: 27.26 Å³/atom
energy relative to the elements, uncorrected: -665 meV/atom